The following is a DFT calculation (PBE) of a relaxed structure of CoNi4Cl.

Structure (POSCAR):
```
CoNi4Cl
1.0
0.000 3.383 3.383
3.383 0.000 3.383
3.383 3.383 0.000
Co Ni Cl
1 4 1
direct
0.000 0.000 0.000
0.374 0.878 0.374
0.878 0.374 0.374
0.374 0.374 0.878
0.374 0.374 0.374
0.750 0.750 0.750
```

## Properties
Space-group type = No. 216
ΔE_f (raw) = 0.6228 eV/atom

The following is a DFT calculation (PBE) of a relaxed structure of Co2NiCl.

Structure (POSCAR):
```
Co2NiCl
1.0
4.446 -0.143 0.000
-1.603 4.150 0.000
0.000 0.000 2.755
Ni Co Cl
1 2 1
direct
0.500 0.000 0.500
0.000 0.000 0.000
0.500 0.500 0.000
0.000 0.500 0.500
```

## Properties
Space-group type = No. 65
ΔE_f (raw) = 0.6223 eV/atom

The following is a DFT calculation (PBE) of a relaxed structure of Co2NiCl.

Structure (POSCAR):
```
Co2NiCl
1.0
-1.136 3.967 0.673
-2.440 3.012 -1.567
-6.338 1.815 2.918
Ni Co Cl
1 2 1
direct
0.750 0.750 0.750
0.946 0.946 0.912
0.554 0.554 0.588
0.250 0.250 0.250
```

## Properties
Space-group type = No. 12
ΔE_f (raw) = 0.3467 eV/atom

The following is a DFT calculation (PBE) of a relaxed structure of Co2NiCl.

Structure (POSCAR):
```
Co2NiCl
1.0
-1.190 2.064 4.136
-3.205 -2.757 -2.214
-0.168 -2.190 1.716
Ni Co Cl
1 2 1
direct
0.500 0.000 0.500
0.000 0.000 0.000
0.500 0.500 0.000
0.000 0.500 0.500
```

## Properties
Space-group type = No. 12
ΔE_f (raw) = 0.6467 eV/atom

The following is a DFT calculation (PBE) of a relaxed structure of Co2NiCl.

Structure (POSCAR):
```
Co2NiCl
1.0
2.951 0.000 0.000
0.000 3.084 -0.005
0.000 0.013 6.254
Ni Co Cl
1 2 1
direct
0.500 0.250 0.250
0.000 0.750 0.059
0.000 0.750 0.441
0.500 0.750 0.750
```

## Properties
Space-group type = No. 47
ΔE_f (raw) = 0.2564 eV/atom

The following is a DFT calculation (PBE) of a relaxed structure of Co2NiCl.

Structure (POSCAR):
```
Co2NiCl
1.0
5.419 0.000 0.000
0.000 5.419 0.000
2.709 2.709 4.779
Ni Co Cl
2 4 2
direct
0.000 0.000 0.000
0.750 0.250 0.500
0.632 0.125 0.250
0.118 0.625 0.250
0.375 0.368 0.750
0.875 0.882 0.750
0.500 0.500 0.000
0.250 0.750 0.500
```

## Properties
Space-group type = No. 122
ΔE_f (raw) = 0.7333 eV/atom